AsP6Pd, relaxed, DFT PBE; volume = 18.7 Å³/atom; mass density = 4.1 Mg/m³; calculated total energy = -37.742 eV for the cell shown
1.0
0.000 4.216 4.216
4.216 0.000 4.216
4.216 4.216 0.000
As P Pd
1 6 1
Direct
0.000 0.000 0.000
0.545 0.545 0.955
0.545 0.955 0.545
0.545 0.955 0.955
0.955 0.545 0.545
0.955 0.545 0.955
0.955 0.955 0.545
0.250 0.250 0.250